No. 1
DFT (GGA-PBE) results for a geometry-optimized AlCdPt2 structure.

**Total energy**: -0.17270 Ha/atom
**Volume**: 17.64 Å³ per atom
**DFT formation energy**: -49.64 kJ/mol of atoms

extended XYZ file:
```
4
Lattice="-1.7500 -3.4776 0.4069 0.1463 -2.9793 2.5346 -5.0941 1.8561 4.1055" Properties=species:S:1:pos:R:3 pbc="T T T"
Cd -1.6745 -1.1502 1.7618
Al -5.0234 -3.4506 5.2853
Pt -3.5658 -2.1838 3.6895
Pt -4.8772 1.7395 3.9395
```

No. 2
DFT (GGA-PBE) results for a geometry-optimized TiBiSe2 structure.

**Total energy**: -0.19836 Ha/atom
**Formation energy from raw total energies**: -712 meV/atom
**Volume**: 23.60 Å³ per atom

extended XYZ file:
```
4
Lattice="0.3653 -9.3444 -0.3422 0.9240 -0.7879 -3.2897 2.4278 0.9535 2.3438" Properties=species:S:1:pos:R:3 pbc="T T T"
Se 2.1213 -1.1402 0.8909
Se 1.5958 -8.0385 -2.1790
Bi 1.8585 -4.5894 -0.6440
Ti 0.0000 0.0000 0.0000
```

No. 3
DFT (GGA-PBE) results for a geometry-optimized AcCeUO6 structure.

**Total energy**: -0.32771 Ha/atom
**Formation energy from raw total energies**: -3242 meV/atom
**Volume**: 16.64 Å³ per atom

extended XYZ file:
```
18
Lattice="6.1369 0.0000 0.0000 -3.0685 5.3147 0.0000 0.0000 0.0000 9.1816" Properties=species:S:1:pos:R:3 pbc="T T T"
Ce 0.0000 0.0000 0.0000
O 2.2556 3.3967 1.1795
O -1.8138 3.6518 8.0021
U 0.0000 3.5431 6.8862
O 4.0694 0.2551 3.4113
Ce 0.0000 0.0000 4.5908
O 2.0675 0.2551 1.1795
Ac 3.0685 1.7716 6.8862
O 1.8138 3.6518 5.7703
Ac 0.0000 3.5431 2.2954
O 4.8822 1.6629 1.1795
U 3.0685 1.7716 2.2954
O 1.2547 1.6629 3.4113
O -0.8128 1.9180 5.7703
O 0.8128 1.9180 8.0021
O 1.0010 5.0596 8.0021
O -1.0010 5.0596 5.7703
O 3.8813 3.3967 3.4113
```

No. 4
DFT (GGA-PBE) results for a geometry-optimized Ta2MnTl2Te6 structure.

**Total energy**: -0.19669 Ha/atom
**Formation energy from raw total energies**: -220 meV/atom
**Volume**: 31.33 Å³ per atom

extended XYZ file:
```
11
Lattice="6.8383 0.0170 0.1557 -3.3651 5.9530 0.1557 -1.0652 -1.8309 8.3580" Properties=species:S:1:pos:R:3 pbc="T T T"
Te 1.7128 2.9442 6.3915
Ta -0.0974 2.8267 4.3347
Te 4.2137 3.1038 2.9751
Te 0.6155 5.1971 2.9751
Tl 4.8501 1.1737 0.1557
Tl -1.3769 4.7964 0.1557
Te -1.8056 1.0354 5.6943
Mn -0.5326 -0.9154 4.1790
Te 1.7925 -1.0579 5.6943
Te 0.6952 1.1950 2.2779
Ta 2.5055 1.3124 4.3347
```